DFT (GGA-PBE) results for an optimized crystal structure of OsPb2SCl. Values from VASP.

Summary:
The calculation puts the electronic total energy at -23.0 eV/cell. The calculation puts the energy relative to the elements, uncorrected at 332 meV per atom.

```
&SYSTEM
  ibrav = 0, nat = 5, ntyp = 4
/
ATOMIC_SPECIES
Pb 207.20 Pb.upf
S 32.06 S.upf
Os 190.23 Os.upf
Cl 35.45 Cl.upf
CELL_PARAMETERS angstrom
5.3724 0.0000 0.0000
0.0000 4.5180 0.0000
0.0000 0.0000 5.3724
ATOMIC_POSITIONS angstrom
Pb 0.0000 0.0000 2.6862
Pb 2.6862 0.0000 0.0000
S 2.6862 2.2590 2.6862
Os 0.0000 0.0000 0.0000
Cl 0.0000 2.2590 0.0000
```